1.
Dy2Tm12Zr (GGA-PBE, optimized geometry); energy of formation from the pure elements = 0.071 eV/atom
1.0
-3.7924 -0.8307 -5.0956
-6.2451 -0.5364 1.3205
-6.7473 23.6837 1.8847
Dy Tm Zr
4 24 2
Direct
0.3856 0.9798 0.2715
0.8853 0.4807 0.2704
0.1144 0.5202 0.7285
0.6147 0.0193 0.7296
0.6533 0.4379 0.8107
0.1531 0.9374 0.8106
0.6855 0.8746 0.8746
0.4655 0.5582 0.9376
0.9151 0.9214 0.3301
0.0345 0.9418 0.0624
0.7698 0.4568 0.5416
0.4154 0.4217 0.3303
0.1839 0.3759 0.8722
0.8145 0.6254 0.1254
0.2989 0.3988 0.5991
0.7302 0.0432 0.4584
0.0846 0.0783 0.6697
0.2011 0.1012 0.4009
0.3161 0.1241 0.1278
0.7024 0.6005 0.4010
0.7976 0.8995 0.5990
0.8467 0.0621 0.1893
0.2690 0.9565 0.5415
0.5849 0.5786 0.6699
0.9710 0.0628 0.9382
0.3469 0.5626 0.1894
0.2310 0.5435 0.4585
0.5290 0.4372 0.0618
0.4800 0.0200 0.0001
0.0200 0.4800 0.9999


2.
SrCeZnPd (GGA-PBE, optimized geometry); energy of formation from the pure elements = -0.316 eV/atom
1.0
-5.1979 -0.3042 -0.4585
-2.1556 -3.8497 -2.8026
-2.6158 -3.8340 2.4040
Sr Zn Pd Ce
1 1 1 1
Direct
0.2500 0.2500 0.2500
0.0000 0.0000 0.0000
0.5000 0.5000 0.5000
0.7500 0.7500 0.7500


3.
NiBBr2 (GGA-PBE, optimized geometry); energy relative to the elements, uncorrected = 88.0 kJ per mole of atoms; offset from the most stable computed form = 0 meV per atom
1.0
-5.5766 -0.9484 -0.6139
-0.5475 -0.4357 5.6467
-4.0204 4.7324 2.8420
Ni B Br
2 2 4
Direct
0.0000 0.0000 0.0000
0.7500 0.2500 0.5000
0.5000 0.5000 0.0000
0.2500 0.7500 0.5000
0.6428 0.1250 0.2500
0.1072 0.6250 0.2500
0.3750 0.3572 0.7500
0.8750 0.8928 0.7500


4.
Mg2PtCl (GGA-PBE, optimized geometry); energy relative to the elements, uncorrected = -51.7 kJ per mole of atoms; offset from the most stable computed form = 459 meV per atom
1.0
5.4214 0.0559 0.3308
0.5133 5.3974 -0.3308
-1.6642 -4.1449 3.0911
Cl Mg Pt
1 2 1
Direct
0.2500 0.7500 0.5000
0.0061 0.0061 0.0000
0.4939 0.4939 0.0000
0.7500 0.2500 0.5000


5.
ScCr2Te (GGA-PBE, optimized geometry); energy relative to the elements, uncorrected = 19.4 kJ per mole of atoms
1.0
-0.7834 -1.9011 -4.8509
3.8623 -3.0728 -1.8437
-2.8137 0.2150 4.4493
Cr Sc Te
2 1 1
Direct
0.9997 0.9997 0.0000
0.7499 0.2499 0.5000
0.5001 0.5001 0.0000
0.2504 0.7504 0.5000


6.
LiTlH2Br (GGA-PBE, optimized geometry); offset from the most stable computed form = 266 meV per atom
1.0
-2.2216 3.0671 -1.2655
-1.1673 -1.9764 -2.7408
-3.6729 -3.2542 3.9110
Li Tl H Br
1 1 2 1
Direct
0.0000 0.5000 0.5000
0.0000 0.0000 0.0000
0.8390 0.5000 0.1428
0.1610 0.5000 0.8572
0.5000 0.0000 0.5000


7.
Pm2InBi (GGA-PBE, optimized geometry); offset from the most stable computed form = 73 meV per atom; energy of formation from the pure elements = -0.606 eV/atom
1.0
4.1189 0.0000 0.0000
0.0000 4.1189 0.0000
0.0000 0.0000 6.9869
In Bi Pm
1 1 2
Direct
0.5000 0.5000 0.5000
0.5000 0.5000 0.0000
0.0000 0.0000 0.7530
0.0000 0.0000 0.2470


8.
A relaxed Sr9H14Pd2 crystal. Source: Alexandria via LeMat-Bulk, functional GGA-PBE.

```
Sr9H14Pd2
1.0
-4.5834 1.6607 5.6509
5.0987 -5.3920 0.7919
6.3147 6.4453 3.2276
Sr H Pd
9 14 2
Direct
0.3377 0.0724 0.3403
0.9276 0.2652 0.3403
0.3333 0.6667 0.0437
0.0000 0.0000 0.0000
0.2652 0.3377 0.6597
0.7348 0.6623 0.3403
0.6667 0.3333 0.9563
0.0724 0.7348 0.6597
0.6623 0.9276 0.6597
0.0306 0.6769 0.9169
0.4223 0.1031 0.6180
0.8969 0.3192 0.6180
0.0000 0.0000 0.2516
0.0000 0.0000 0.7484
0.3231 0.3537 0.9169
0.6463 0.9694 0.9169
0.3192 0.4223 0.3820
0.6808 0.5777 0.6180
0.3537 0.0306 0.0831
0.6769 0.6463 0.0831
0.1031 0.6808 0.3820
0.5777 0.8969 0.3820
0.9694 0.3231 0.0831
0.3333 0.6667 0.4043
0.6667 0.3333 0.5957
```


9.
CdH2Ru (GGA-PBE, optimized geometry); offset from the most stable computed form = 134 meV per atom
1.0
4.1252 0.0000 0.0000
0.0000 4.1252 0.0000
2.0626 2.0626 5.0684
Ru H Cd
2 4 2
Direct
0.5000 0.5000 0.0000
0.2500 0.7500 0.5000
0.4963 0.1250 0.2500
0.2537 0.6250 0.2500
0.3750 0.5037 0.7500
0.8750 0.7463 0.7500
0.0000 0.0000 0.0000
0.7500 0.2500 0.5000


10.
KAuSe2 (GGA-PBE, optimized geometry); energy relative to the elements, uncorrected = 15.7 kJ per mole of atoms
1.0
5.1457 0.0000 0.0000
2.5729 4.4563 0.0000
2.5729 1.4854 4.2015
Au K Se
1 1 2
Direct
0.5000 0.5000 0.5000
0.7500 0.7500 0.7500
0.0000 0.0000 0.0000
0.2500 0.2500 0.2500


11.
PW (GGA-PBE, optimized geometry); energy of formation from the pure elements = -0.287 eV/atom
1.0
-2.3480 0.3488 -2.0911
-1.8189 -1.9344 1.7196
-1.9417 4.4193 2.9174
P W
2 2
Direct
0.5000 0.0000 0.8635
0.0000 0.5000 0.1365
0.5000 0.0000 0.3245
0.0000 0.5000 0.6755


12.
K2CdP (GGA-PBE, optimized geometry); offset from the most stable computed form = 391 meV per atom; energy of formation from the pure elements = 0.211 eV/atom
1.0
11.3420 0.1043 0.0615
10.6827 3.8118 0.0615
10.6827 1.8994 3.3054
Cd K P
1 2 1
Direct
0.7500 0.7500 0.7500
0.9851 0.9851 0.9851
0.5149 0.5149 0.5149
0.2500 0.2500 0.2500


13.
Y14HoMg (GGA-PBE, optimized geometry); energy of formation from the pure elements = 0.050 eV/atom
1.0
6.9293 -0.1188 0.0000
-1.9411 6.6529 0.0000
0.0000 0.0000 11.1367
Y Ho Mg
14 1 1
Direct
0.3741 0.6259 0.5000
0.8224 0.1776 0.5000
0.8923 0.6505 0.0000
0.8856 0.6928 0.5000
0.3495 0.1077 0.0000
0.3072 0.1144 0.5000
0.6791 0.8969 0.7596
0.6791 0.8969 0.2404
0.1031 0.3209 0.7596
0.1031 0.3209 0.2404
0.1703 0.8297 0.7478
0.1703 0.8297 0.2522
0.6127 0.3873 0.7437
0.6127 0.3873 0.2563
0.3816 0.6184 0.0000
0.8568 0.1432 0.0000


14.
TbPd5Au4 (GGA-PBE, optimized geometry); energy of formation from the pure elements = -0.291 eV/atom
1.0
-3.4027 1.0492 3.1624
6.1370 -1.8069 7.2028
2.3608 7.8123 -0.0517
Tb Pd Au
2 10 8
Direct
0.4461 0.0000 0.0000
0.5539 0.5000 0.5000
0.2562 0.7557 0.6676
0.2562 0.2443 0.6676
0.6687 0.5000 0.0000
0.2562 0.7557 0.3324
0.2562 0.2443 0.3324
0.7438 0.7443 0.1676
0.7438 0.2557 0.1676
0.3313 0.0000 0.5000
0.7438 0.2557 0.8324
0.7438 0.7443 0.8324
0.9446 0.0000 0.7584
0.2407 0.6968 0.0000
0.2407 0.3032 0.0000
0.9446 0.0000 0.2416
0.0554 0.5000 0.2584
0.7593 0.8032 0.5000
0.7593 0.1968 0.5000
0.0554 0.5000 0.7416


15.
Rb2BiSBr3 (GGA-PBE, optimized geometry); energy relative to the elements, uncorrected = -109.0 kJ per mole of atoms
1.0
5.3879 0.0000 0.0000
0.0000 5.8361 0.0000
-2.6940 -2.9180 8.7819
Rb Bi S Br
2 1 1 3
Direct
0.6349 0.6349 0.2698
0.3651 0.3651 0.7302
0.0000 0.0000 0.0000
0.5000 0.0000 0.0000
0.0000 0.5000 0.0000
0.1676 0.1676 0.3351
0.8324 0.8324 0.6649


16.
TeWSe2 (GGA-PBE, optimized geometry); energy relative to the elements, uncorrected = 48.6 kJ per mole of atoms
1.0
-3.9309 -4.3156 3.5652
4.1844 0.6284 5.3743
-2.5341 1.9274 6.1006
Te Se W
2 4 2
Direct
0.5000 0.5000 0.0000
0.2500 0.7500 0.5000
0.7036 0.1250 0.2500
0.0464 0.6250 0.2500
0.3750 0.2964 0.7500
0.8750 0.9536 0.7500
0.0000 0.0000 0.0000
0.7500 0.2500 0.5000


17.
Pr3Hg2I8 (GGA-PBE, optimized geometry); energy relative to the elements, uncorrected = -109.7 kJ per mole of atoms
1.0
7.9522 0.0150 0.0297
0.0993 9.4778 6.6262
0.0956 1.9687 11.3956
Pr Hg I
3 2 8
Direct
0.5000 0.0000 0.0000
0.0000 0.7163 0.2837
0.0000 0.2837 0.7163
0.5098 0.7482 0.7482
0.4902 0.2518 0.2518
0.8471 0.4008 0.4008
0.1529 0.5992 0.5992
0.8362 0.9171 0.9171
0.1638 0.0829 0.0829
0.6691 0.3307 0.8368
0.6691 0.8368 0.3307
0.3309 0.1632 0.6693
0.3309 0.6693 0.1632


18.
DyThIr (GGA-PBE, optimized geometry); offset from the most stable computed form = 75 meV per atom; energy of formation from the pure elements = -0.586 eV/atom
1.0
4.9049 0.0000 0.0000
2.4525 4.2478 0.0000
2.4525 1.4159 4.0048
Ir Th Dy
1 1 1
Direct
0.2500 0.2500 0.2500
0.5000 0.5000 0.5000
0.0000 0.0000 0.0000


19.
PuSb2Pd (GGA-PBE, optimized geometry); energy relative to the elements, uncorrected = -45.9 kJ per mole of atoms
1.0
4.1019 0.0000 0.0000
0.0000 4.7019 0.0000
0.0000 0.0000 4.7019
Sb Pd Pu
2 1 1
Direct
0.0000 0.0000 0.5000
0.0000 0.5000 0.0000
0.5000 0.0000 0.0000
0.5000 0.5000 0.5000


20.
Tb2HoCu2 (GGA-PBE, optimized geometry); offset from the most stable computed form = 0 meV per atom; energy of formation from the pure elements = -0.163 eV/atom
1.0
3.4812 0.0000 -0.4660
0.0000 5.0528 0.0000
-0.0142 0.0000 13.1087
Tb Ho Cu
4 2 4
Direct
0.0467 0.7500 0.0936
0.9533 0.2500 0.9064
0.2303 0.7500 0.4600
0.7697 0.2500 0.5400
0.8590 0.7500 0.7176
0.1410 0.2500 0.2824
0.6402 0.7500 0.2801
0.3598 0.2500 0.7199
0.4531 0.7500 0.9064
0.5469 0.2500 0.0936


| no. | E_tot (eV/atom) | mass density (g cm⁻³) |
| --- | --- | --- |
| 1 | -4.690 | 9.096 |
| 2 | -3.836 | 6.571 |
| 3 | -3.039 | 4.263 |
| 4 | -3.305 | 5.439 |
| 5 | -6.978 | 6.457 |
| 6 | -2.740 | 5.646 |
| 7 | -4.636 | 8.599 |
| 8 | -3.344 | 3.648 |
| 9 | -3.969 | 8.298 |
| 10 | -2.674 | 6.791 |
| 11 | -9.468 | 12.639 |
| 12 | -1.919 | 2.691 |
| 13 | -5.992 | 4.661 |
| 14 | -4.662 | 13.117 |
| 15 | -3.268 | 3.919 |
| 16 | -5.262 | 6.806 |
| 17 | -3.240 | 4.044 |
| 18 | -7.547 | 11.677 |
| 19 | -7.418 | 10.876 |
| 20 | -4.569 | 8.785 |